(1)
Crystalline CdPb at its relaxed geometry, computed with GGA-PBE.

Structure (POSCAR):
```
CdPb
1.0
5.1905 0.0000 0.0000
-2.5952 4.4951 0.0000
0.0000 0.0000 6.1618
Cd Pb
2 2
Direct
0.6667 0.3333 0.7500
0.3333 0.6667 0.2500
0.3333 0.6667 0.7500
0.6667 0.3333 0.2500
```

=====

(2)
Crystalline CdPb at its relaxed geometry, computed with GGA-PBE.

Structure (POSCAR):
```
CdPb
1.0
7.8371 0.0000 0.0000
0.0000 9.6253 0.0000
0.0000 0.0000 12.3394
Cd Pb
16 16
Direct
0.5665 0.2500 0.2500
0.3165 0.0000 0.5000
0.6835 0.5000 0.0000
0.0665 0.2500 0.7500
0.3165 0.5000 0.0000
0.9335 0.7500 0.7500
0.0665 0.7500 0.2500
0.4335 0.2500 0.7500
0.6835 0.0000 0.5000
0.8165 0.0000 0.0000
0.9335 0.2500 0.2500
0.1835 0.0000 0.0000
0.1835 0.5000 0.5000
0.4335 0.7500 0.2500
0.5665 0.7500 0.7500
0.8165 0.5000 0.5000
0.5000 0.3049 0.5000
0.2500 0.0549 0.2500
0.0000 0.3049 0.0000
0.7500 0.4451 0.7500
0.2500 0.4451 0.2500
0.2500 0.5549 0.7500
0.5000 0.1951 0.0000
0.2500 0.9451 0.7500
0.7500 0.9451 0.2500
0.0000 0.8049 0.5000
0.7500 0.5549 0.2500
0.5000 0.6951 0.5000
0.7500 0.0549 0.7500
0.5000 0.8049 0.0000
0.0000 0.6951 0.0000
0.0000 0.1951 0.5000
```

=====

no.,formation energy from the elements (meV/atom),magnetic moment (μB per formula unit)
1,236,0.0
2,108,0.0